# 1
Tb2Dy6Ho3Th after structural relaxation, computed with PBE-GGA.

## Properties
* size of the total moment: 0.0 μB per cell
* volume: 378 Å³ per cell
* E: -4.81 eV/atom
* energy of formation from the pure elements: 0.3 eV per formula unit
* space group: C2/m (12)

Lattice parameters (Å, degrees): 6.139 6.139 11.753 94.99 94.99 119.95
Atoms (fractional coordinates):
Tb 0.333 0.667 0.000
Tb 0.667 0.333 0.000
Ho 0.833 0.167 0.500
Ho 0.167 0.833 0.500
Ho 0.500 0.500 0.500
Dy 0.084 0.414 0.250
Dy 0.414 0.084 0.250
Dy 0.916 0.586 0.750
Dy 0.586 0.916 0.750
Dy 0.754 0.754 0.250
Dy 0.246 0.246 0.750
Th 0.000 0.000 0.000

# 2
Ca3Sm2UAs6 after structural relaxation, computed with PBE-GGA.

## Properties
* size of the total moment: 0.0 μB per cell
* volume: 315 Å³ per cell
* E: -5.77 eV/atom
* energy of formation from the pure elements: -14.6 eV per formula unit
* space group: C2/m (12)

Lattice parameters (Å, degrees): 7.281 7.281 7.280 99.64 99.64 119.98
Atoms (fractional coordinates):
U 0.000 0.000 0.000
As 0.764 0.764 0.232
As 0.236 0.236 0.768
As 0.078 0.393 0.234
As 0.607 0.922 0.766
As 0.393 0.078 0.234
As 0.922 0.607 0.766
Ca 0.500 0.500 0.500
Ca 0.829 0.171 0.500
Ca 0.171 0.829 0.500
Sm 0.334 0.666 0.000
Sm 0.666 0.334 0.000

# 3
Sr5BiSb2 after structural relaxation, computed with PBE-GGA.

## Properties
* size of the total moment: 0.6 μB per cell
* energy relative to the elements, uncorrected: -53.9 kJ/mol of atoms
* volume: 299 Å³ per cell
* E: -3.13 eV/atom
* space group: I4mm (107)

Lattice parameters (Å, degrees): 8.087 8.087 7.321 123.53 123.52 90.00
Atoms (fractional coordinates):
Sb 0.745 0.245 0.490
Sb 0.245 0.745 0.490
Sr 0.769 0.769 0.538
Sr 0.704 0.704 0.942
Sr 0.239 0.704 0.942
Sr 0.704 0.239 0.942
Sr 0.239 0.239 0.942
Bi 0.134 0.134 0.268

# 4
TbDy2Fe after structural relaxation, computed with PBE-GGA.

## Properties
* polymorph energy (0 for the lowest one): 99 meV/atom
* size of the total moment: 0.0 μB per cell
* volume: 101 Å³ per cell
* E: -5.48 eV/atom
* energy of formation from the pure elements: 0.4 eV per formula unit
* space group: P4/mmm (123)

Lattice parameters (Å, degrees): 3.348 3.348 9.019 90.00 90.00 90.00
Atoms (fractional coordinates):
Dy 0.000 0.000 0.821
Dy 0.000 0.000 0.179
Tb 0.500 0.500 0.500
Fe 0.500 0.500 0.000

# 5
InBF4 after structural relaxation, computed with PBE-GGA.

## Properties
* polymorph energy (0 for the lowest one): 0 meV/atom
* size of the total moment: 0.0 μB per cell
* energy relative to the elements, uncorrected: -247.0 kJ/mol of atoms
* volume: 395 Å³ per cell
* E: -5.38 eV/atom
* space group: Pnma (62)

Lattice parameters (Å, degrees): 5.778 7.434 9.203 90.00 90.00 90.00
Atoms (fractional coordinates):
F 0.250 0.558 0.175
F 0.250 0.606 0.924
F 0.250 0.942 0.675
F 0.049 0.701 0.577
F 0.750 0.106 0.576
F 0.951 0.201 0.923
F 0.951 0.299 0.423
F 0.049 0.799 0.077
F 0.549 0.201 0.923
F 0.750 0.394 0.076
F 0.549 0.299 0.423
F 0.250 0.894 0.424
F 0.750 0.058 0.325
F 0.451 0.799 0.077
F 0.750 0.442 0.825
F 0.451 0.701 0.577
B 0.750 0.312 0.938
B 0.750 0.188 0.438
B 0.250 0.688 0.062
B 0.250 0.812 0.562
In 0.750 0.668 0.314
In 0.250 0.332 0.686
In 0.250 0.168 0.186
In 0.750 0.832 0.814

# 6
TbPmHoCd after structural relaxation, computed with PBE-GGA.

## Properties
* polymorph energy (0 for the lowest one): 119 meV/atom
* size of the total moment: 0.0 μB per cell
* volume: 117 Å³ per cell
* E: -3.75 eV/atom
* energy of formation from the pure elements: -0.1 eV per formula unit
* space group: F-43m (216)

Lattice parameters (Å, degrees): 5.486 5.486 5.486 60.00 60.00 60.00
Atoms (fractional coordinates):
Pm 0.000 0.000 0.000
Ho 0.250 0.250 0.250
Cd 0.750 0.750 0.750
Tb 0.500 0.500 0.500

# 7
Y2GaFeC after structural relaxation, computed with PBE-GGA.

## Properties
* size of the total moment: 0.5 μB per cell
* volume: 91 Å³ per cell
* E: -7.13 eV/atom
* energy of formation from the pure elements: -2.0 eV per formula unit
* space group: P4/mmm (123)

Lattice parameters (Å, degrees): 4.982 4.982 3.679 90.00 90.00 90.00
Site moments in Bohr magnetons follow the coordinates.
Atoms (fractional coordinates):
Y 0.500 0.000 0.000  -0.04
Y 0.000 0.500 0.000  -0.04
Ga 0.500 0.500 0.500  0.00
Fe 0.000 0.000 0.500  0.64
C 0.000 0.000 0.000  -0.02

# 8
CaSb4Mo after structural relaxation, computed with PBE-GGA.

## Properties
* size of the total moment: 4.6 μB per cell
* energy relative to the elements, uncorrected: 49.8 kJ/mol of atoms
* volume: 173 Å³ per cell
* E: -4.37 eV/atom
* space group: F-43m (216)

Lattice parameters (Å, degrees): 6.250 6.250 6.250 60.00 60.00 60.00
Site moments in Bohr magnetons follow the coordinates.
Atoms (fractional coordinates):
Sb 0.375 0.876 0.375  0.00
Sb 0.375 0.375 0.876  0.00
Sb 0.876 0.375 0.375  0.00
Sb 0.375 0.375 0.375  0.00
Ca 0.750 0.750 0.750  0.04
Mo 0.000 0.000 0.000  3.50

# 9
La3Tb6Sc after structural relaxation, computed with PBE-GGA.

## Properties
* polymorph energy (0 for the lowest one): 68 meV/atom
* size of the total moment: 0.0 μB per cell
* volume: 329 Å³ per cell
* E: -4.64 eV/atom
* energy of formation from the pure elements: 2.5 eV per formula unit
* space group: R-3 (148)

Lattice parameters (Å, degrees): 9.912 9.912 6.904 44.12 44.12 60.00
Atoms (fractional coordinates):
Tb 0.093 0.434 0.697
Tb 0.266 0.924 0.203
Tb 0.607 0.266 0.203
Tb 0.924 0.607 0.203
Tb 0.776 0.093 0.697
Tb 0.434 0.776 0.697
La 0.602 0.602 0.194
La 0.098 0.098 0.706
La 0.350 0.350 0.950
Sc 0.850 0.850 0.450

# 10
MnIrRu after structural relaxation, computed with PBE-GGA.

## Properties
* polymorph energy (0 for the lowest one): 64 meV/atom
* size of the total moment: 1.5 μB per cell
* volume: 40 Å³ per cell
* E: -9.09 eV/atom
* energy of formation from the pure elements: 0.0 eV per formula unit
* space group: P3m1 (156)

Lattice parameters (Å, degrees): 2.682 2.682 6.463 90.00 90.00 120.00
Site moments in Bohr magnetons follow the coordinates.
Atoms (fractional coordinates):
Mn 0.667 0.333 0.336  1.59
Ir 0.000 0.000 0.011  -0.02
Ru 0.333 0.667 0.652  -0.17

# 11
Cs3MnCl6 after structural relaxation, computed with PBE-GGA.

## Properties
* polymorph energy (0 for the lowest one): 5 meV/atom
* size of the total moment: 4.0 μB per cell
* energy relative to the elements, uncorrected: -152.4 kJ/mol of atoms
* volume: 361 Å³ per cell
* E: -3.86 eV/atom
* space group: Fm-3m (225)

Lattice parameters (Å, degrees): 7.997 7.997 7.996 59.99 59.99 90.00
Site moments in Bohr magnetons follow the coordinates.
Atoms (fractional coordinates):
Cl 0.288 0.288 0.424  0.00
Cl 0.712 0.712 0.000  0.00
Cl 0.288 0.712 0.000  0.01
Cl 0.712 0.712 0.576  0.00
Cl 0.712 0.288 0.000  0.01
Cl 0.288 0.288 0.000  0.00
Mn 0.500 0.500 0.000  3.70
Cs 0.000 0.000 0.000  0.00
Cs 0.750 0.250 0.500  0.00
Cs 0.250 0.750 0.500  0.00

# 12
Cs5KBr6 after structural relaxation, computed with PBE-GGA.

## Properties
* size of the total moment: 0.0 μB per cell
* energy relative to the elements, uncorrected: -170.9 kJ/mol of atoms
* volume: 577 Å³ per cell
* E: -3.06 eV/atom
* space group: C2/m (12)

Lattice parameters (Å, degrees): 8.913 8.913 8.902 99.63 99.63 119.97
Atoms (fractional coordinates):
Cs 0.334 0.666 0.000
Cs 0.666 0.334 0.000
Cs 0.500 0.500 0.500
Cs 0.832 0.168 0.500
Cs 0.168 0.832 0.500
Br 0.762 0.762 0.241
Br 0.601 0.920 0.759
Br 0.399 0.080 0.241
Br 0.920 0.601 0.759
Br 0.238 0.238 0.759
Br 0.080 0.399 0.241
K 0.000 0.000 0.000